VASP calculation (GGA-PBE) on LiTlAgF4 after structural relaxation.

Properties
As for the calculated volume: 15.63 Å³ per atom. The value obtained for the theoretical density is 6.00 Mg/m³. As for the total energy: -3.8978 eV/atom. The raw formation energy is -1.810 eV/atom. As for the crystal system: orthorhombic.

abc: 6.7762 6.7762 6.7762
angles: 123.70 116.32 90.10
Atoms (fractional coordinates):
Li 0.3914 0.1414 0.2500
Li 0.6086 0.8586 0.7500
Tl 0.0000 0.5000 0.5000
Tl 0.5000 0.5000 0.0000
Ag 0.0000 0.0000 0.5000
Ag 0.0000 0.5000 0.0000
F 0.2656 0.2606 0.4951
F 0.2656 0.7705 0.0049
F 0.2678 0.7490 0.5188
F 0.2698 0.2510 0.0188
F 0.7302 0.7490 0.9812
F 0.7322 0.2510 0.4812
F 0.7344 0.2295 0.9951
F 0.7344 0.7394 0.5049